Here is a geometry-optimized La2Zn4CuGe3 structure from Alexandria via LeMat-Bulk. Energies are from GGA-PBE.

Calculated values
Energy of formation = -460 meV/atom
D(E_F) = 3.87 states/eV/f.u.
Size of the total moment = 0.000 μB per cell

Cell: 4.295 4.295 10.580 Å, 90.00 90.00 90.00°
Atoms (fractional coordinates):
La (0.000, 0.500, 0.246)
La (0.500, 0.000, 0.754)
Zn (0.000, 0.000, 0.500)
Zn (0.000, 0.500, 0.876)
Zn (0.500, 0.000, 0.124)
Zn (0.500, 0.500, 0.500)
Cu (0.500, 0.500, 0.000)
Ge (0.000, 0.000, 0.000)
Ge (0.000, 0.500, 0.640)
Ge (0.500, 0.000, 0.360)